(1)
# Rb2TeF

A relaxed Rb2TeF crystal (PBE, the Alexandria database).

```
Rb2TeF
1.0
0.0000 4.1840 4.1840
4.1840 0.0000 4.1840
4.1840 4.1840 0.0000
Rb Te F
2 1 1
Direct
0.7500 0.7500 0.7500
0.2500 0.2500 0.2500
0.5000 0.5000 0.5000
0.0000 0.0000 0.0000
```

- ΔE to the lowest computed polymorph (eV/f.u.) = 1.49
- energy (eV per atom) = -2.9628
- calculated density (g cm⁻³) = 3.6
- D(E_F) (states/eV/atom) = 3.752
- symmetry = No. 225
- calculated volume (Å³ per atom) = 36.6
- energy relative to the elements, uncorrected (eV per atom) = -1.226
- total moment (μB/cell) = 1.00

***

(2)
# Na4In3Sn5

A relaxed Na4In3Sn5 crystal (PBE, the Alexandria database).

```
Na4In3Sn5
1.0
-2.6372 0.3793 -4.9064
-0.6223 -7.1851 -3.3975
-9.3628 -0.6579 1.8050
Sn Na In
5 4 3
Direct
0.5844 0.9932 0.8380
0.2091 0.4054 0.1764
0.5000 0.5000 0.5000
0.4156 0.0068 0.1620
0.7909 0.5946 0.8236
0.9041 0.2123 0.9795
0.7727 0.0944 0.3602
0.2273 0.9056 0.6398
0.0959 0.7877 0.0205
0.6066 0.6016 0.1851
0.0000 0.5000 0.5000
0.3934 0.3984 0.8149
```

- energy (eV per atom) = -2.8172
- calculated density (g cm⁻³) = 4.5
- D(E_F) (states/eV/atom) = 0.516
- symmetry = No. 12
- calculated volume (Å³ per atom) = 31.7
- total moment (μB/cell) = 0.00

***

(3)
# Ba2TlCo

A relaxed Ba2TlCo crystal (PBE, the Alexandria database).

```
Ba2TlCo
1.0
-1.1433 -4.2214 3.4413
3.9812 -2.0558 3.3006
-0.2160 0.8680 5.4927
Co Tl Ba
1 1 2
Direct
0.5000 0.5000 0.5000
0.7500 0.7500 0.7500
0.2500 0.2500 0.2500
0.0000 0.0000 0.0000
```

- energy (eV per atom) = -2.9503
- calculated density (g cm⁻³) = 7.3
- D(E_F) (states/eV/atom) = 2.230
- symmetry = No. 216
- calculated volume (Å³ per atom) = 30.5
- total moment (μB/cell) = 1.66

***

(4)
# LaHfAg3

A relaxed LaHfAg3 crystal (PBE, the Alexandria database).

```
LaHfAg3
1.0
-0.7743 4.6775 -2.1354
-5.0065 -1.1780 -0.7650
-1.1720 1.9421 4.6790
Hf La Ag
1 1 3
Direct
0.0000 0.0000 0.0000
0.5000 0.5000 0.5000
0.0000 0.5000 0.0000
0.5000 0.0000 0.0000
0.0000 0.0000 0.5000
```

- ΔE to the lowest computed polymorph (eV/f.u.) = 0.00
- energy (eV per atom) = -4.1781
- calculated density (g cm⁻³) = 7.6
- D(E_F) (states/eV/atom) = 1.154
- symmetry = No. 221
- calculated volume (Å³ per atom) = 28.1
- total moment (μB/cell) = 0.00

***

(5)
# Mg5In

A relaxed Mg5In crystal (PBE, the Alexandria database).

```
Mg5In
1.0
-2.7168 1.4480 -1.0518
0.0747 -5.4806 -2.5586
-3.2276 -1.0452 6.7920
Mg In
5 1
Direct
0.6678 0.3356 0.3308
0.9459 0.8923 0.3905
0.9998 0.9997 0.0016
0.3312 0.6623 0.6652
0.2791 0.5566 0.0560
0.6095 0.2200 0.7227
```

- energy (eV per atom) = -1.8249
- calculated density (g cm⁻³) = 2.8
- D(E_F) (states/eV/atom) = 0.327
- symmetry = No. 1
- calculated volume (Å³ per atom) = 23.1
- total moment (μB/cell) = 0.00

***

(6)
# BSeBr2Cl

A relaxed BSeBr2Cl crystal (PBE, the Alexandria database).

```
BSeBr2Cl
1.0
4.5473 0.0000 0.0000
0.0000 4.5473 0.0000
0.0000 0.0000 4.9486
Cl Br Se B
1 2 1 1
Direct
0.5000 0.5000 0.5000
0.5000 0.0000 0.0000
0.0000 0.5000 0.0000
0.0000 0.0000 0.5000
0.0000 0.0000 0.0000
```

- ΔE to the lowest computed polymorph (eV/f.u.) = 0.00
- energy (eV per atom) = -2.3510
- calculated density (g cm⁻³) = 4.6
- D(E_F) (states/eV/atom) = 0.593
- symmetry = No. 123
- calculated volume (Å³ per atom) = 20.5
- energy relative to the elements, uncorrected (eV per atom) = 0.720
- total moment (μB/cell) = 0.00